Material: Ca2TaP
Method: DFT, GGA-PBE
State: optimized geometry

E_tot: -4.927 eV per atom
DFT formation energy: 0.390 eV/atom
relative energy among the computed polymorphs: 0.637 eV per atom

Unit cell a=4.3311 b=4.3311 c=9.6449 alpha=90.00 beta=90.00 gamma=90.00
Space group I-4m2 (No. 119)
Unique sites:
1 Ca 0.0000 0.0000 0.0000 x2
2 Ca 0.0000 0.5000 0.2500 x2
3 Ta 0.0000 0.0000 0.5000 x2
4 P 0.0000 0.5000 0.7500 x2



Material: CaTaP2
Method: DFT, GGA-PBE
State: optimized geometry

E_tot: -5.685 eV per atom
DFT formation energy: 0.483 eV/atom
relative energy among the computed polymorphs: 1.392 eV per atom

Unit cell a=6.5186 b=6.5186 c=6.5186 alpha=90.00 beta=90.00 gamma=90.00
Space group F-43m (No. 216)
Unique sites:
1 Ca 0.0000 0.0000 0.0000 x4
2 Ta 0.2500 0.2500 0.7500 x4
3 P 0.0000 0.0000 0.5000 x4
4 P 0.2500 0.2500 0.2500 x4



Material: CaTaP2
Method: DFT, GGA-PBE
State: optimized geometry

E_tot: -6.624 eV per atom
DFT formation energy: -0.456 eV/atom
relative energy among the computed polymorphs: 0.453 eV per atom

Unit cell a=6.1363 b=6.1363 c=11.5274 alpha=90.00 beta=90.00 gamma=90.00
Space group I-42d (No. 122)
Unique sites:
1 Ca 0.0000 0.0000 0.0000 x4
2 Ta 0.0000 0.0000 0.5000 x4
3 P 0.1876 0.2500 0.6250 x8



Material: CaTaP2
Method: DFT, GGA-PBE
State: optimized geometry

E_tot: -6.295 eV per atom
DFT formation energy: -0.126 eV/atom
relative energy among the computed polymorphs: 0.783 eV per atom

Unit cell a=3.7859 b=3.7859 c=10.0615 alpha=90.00 beta=90.00 gamma=90.00
Space group I-4m2 (No. 119)
Unique sites:
1 Ca 0.0000 0.0000 0.0000 x2
2 Ta 0.0000 0.5000 0.2500 x2
3 P 0.0000 0.0000 0.5000 x2
4 P 0.0000 0.5000 0.7500 x2